# CuSnCl (PBE, optimized geometry)
# - Energy: -3.60 eV per atom
# - Space group: Pmmn
# - Spin magnetization: 0.00 μB/f.u.
# - Formation energy without anion corrections: -0.280 eV per atom
# - ΔE to the lowest computed polymorph: 2.1 meV per atom
data_CuSnCl
_chemical_formula_sum 'Cu2 Sn2 Cl2'
_cell_length_a 3.586
_cell_length_b 8.395
_cell_length_c 5.208
_cell_angle_alpha 90.00
_cell_angle_beta 90.00
_cell_angle_gamma 90.00
_space_group_name_H-M_alt 'P 1'
_space_group_IT_number 1
_space_group_name_Hall 'P 1'
loop_
_atom_site_label
_atom_site_fract_x
_atom_site_fract_y
_atom_site_fract_z
_atom_site_occupancy
Cl1 0.000 0.853 0.000 1
Cl2 0.500 0.147 0.500 1
Sn1 0.000 0.438 0.000 1
Sn2 0.500 0.562 0.500 1
Cu1 0.500 0.683 0.000 1
Cu2 0.000 0.317 0.500 1